1.
5
Lattice="3.833 0.000 0.000 0.000 3.833 0.000 1.917 1.917 9.248" Properties=species:S:1:pos:R:3 comment="AgTe2Se2 | the Alexandria database | PBE-GGA | optimized geometry" raw_formation_energy_ev_per_fu=1.0 de_polymorph_mev_per_atom=126 pbc="T T T"
Te 1.917 1.917 1.414
Te 3.833 3.833 7.834
Se 3.833 1.917 4.624
Se 1.917 3.833 4.624
Ag 0.000 0.000 0.000


2.
9
Lattice="4.144 0.000 0.000 0.000 5.813 -3.356 0.000 0.000 6.713" Properties=species:S:1:pos:R:3 comment="TbPm2Co6 | the Alexandria database | PBE-GGA | optimized geometry" formation_energy_ev_per_fu=-1.1 pbc="T T T"
Tb 0.000 0.000 0.000
Pm 0.000 1.938 3.356
Pm 4.144 3.876 0.000
Co 2.072 1.930 1.114
Co 2.072 3.883 2.242
Co 2.072 0.000 4.484
Co 2.072 3.883 4.471
Co 2.072 1.930 -1.114
Co 2.072 0.000 2.229


Please write out number 2 again, unchanged.
9
Lattice="4.144 0.000 0.000 0.000 5.813 -3.356 0.000 0.000 6.713" Properties=species:S:1:pos:R:3 comment="TbPm2Co6 | the Alexandria database | PBE-GGA | optimized geometry" formation_energy_ev_per_fu=-1.1 pbc="T T T"
Tb 0.000 0.000 0.000
Pm 0.000 1.938 3.356
Pm 4.144 3.876 0.000
Co 2.072 1.930 1.114
Co 2.072 3.883 2.242
Co 2.072 0.000 4.484
Co 2.072 3.883 4.471
Co 2.072 1.930 -1.114
Co 2.072 0.000 2.229